## YRuN2O (PBE)

Data for crystalline YRuN2O at its relaxed geometry.

CIF file:
```
data_YRuN2O
_chemical_formula_sum 'Y1 Ru1 N2 O1'
_symmetry_space_group_name_H-M 'P 1'
_symmetry_Int_Tables_number 1
_cell_length_a 3.827
_cell_length_b 3.827
_cell_length_c 4.105
_cell_angle_alpha 90.00
_cell_angle_beta 90.00
_cell_angle_gamma 90.00
loop_
_symmetry_equiv_pos_as_xyz
'x,y,z'
loop_
_atom_site_label
_atom_site_fract_x
_atom_site_fract_y
_atom_site_fract_z
Y1 0.000 0.000 0.000
Ru1 0.500 0.500 0.500
N1 0.000 0.500 0.500
N2 0.500 0.000 0.500
O1 0.500 0.500 0.000
```

E_tot = -8.098 eV/atom
Size of the total moment = 0.00 Bohr magnetons per cell
ΔE_f (raw) = -0.628 eV/atom
Crystal system = tetragonal